Entry 1:
Ga5Hg12Cl3: relaxed, PBE.

Results
Raw total energy, eV for the cell shown: -100.8

abc: 14.7235 14.7235 14.7235
angles: 109.47 109.47 109.47
Element x y z (fractional)
1 Ga 0.0000 0.0000 0.0000
2 Ga 0.0000 0.0000 0.5000
3 Ga 0.0000 0.5000 0.0000
4 Ga 0.0000 0.5000 0.5000
5 Ga 0.1250 0.7500 0.8750
6 Ga 0.1250 0.8750 0.2500
7 Ga 0.2500 0.1250 0.8750
8 Ga 0.2500 0.6250 0.3750
9 Ga 0.3750 0.2500 0.6250
10 Ga 0.3750 0.6250 0.7500
11 Ga 0.5000 0.0000 0.0000
12 Ga 0.5000 0.0000 0.5000
13 Ga 0.5000 0.5000 0.0000
14 Ga 0.5000 0.5000 0.5000
15 Ga 0.6250 0.3750 0.2500
16 Ga 0.6250 0.7500 0.3750
17 Ga 0.7500 0.3750 0.6250
18 Ga 0.7500 0.8750 0.1250
19 Ga 0.8750 0.1250 0.7500
20 Ga 0.8750 0.2500 0.1250
21 Hg 0.0371 0.2155 0.1021
22 Hg 0.0371 0.3216 0.9350
23 Hg 0.0650 0.6021 0.3866
24 Hg 0.0650 0.9629 0.6784
25 Hg 0.1021 0.0371 0.2155
26 Hg 0.1021 0.5650 0.8866
27 Hg 0.1134 0.7155 0.6784
28 Hg 0.1134 0.8979 0.4350
29 Hg 0.1784 0.2155 0.6134
30 Hg 0.1784 0.4629 0.5650
31 Hg 0.2155 0.1021 0.0371
32 Hg 0.2155 0.6134 0.1784
33 Hg 0.2845 0.3216 0.8866
34 Hg 0.2845 0.4629 0.3979
35 Hg 0.3216 0.8866 0.2845
36 Hg 0.3216 0.9350 0.0371
37 Hg 0.3866 0.0650 0.6021
38 Hg 0.3866 0.8216 0.7845
39 Hg 0.3979 0.2845 0.4629
40 Hg 0.3979 0.6134 0.9350
41 Hg 0.4350 0.1134 0.8979
42 Hg 0.4350 0.8216 0.5371
43 Hg 0.4629 0.3979 0.2845
44 Hg 0.4629 0.5650 0.1784
45 Hg 0.5371 0.4350 0.8216
46 Hg 0.5371 0.6021 0.7155
47 Hg 0.5650 0.1784 0.4629
48 Hg 0.5650 0.8866 0.1021
49 Hg 0.6021 0.3866 0.0650
50 Hg 0.6021 0.7155 0.5371
51 Hg 0.6134 0.1784 0.2155
52 Hg 0.6134 0.9350 0.3979
53 Hg 0.6784 0.0650 0.9629
54 Hg 0.6784 0.1134 0.7155
55 Hg 0.7155 0.5371 0.6021
56 Hg 0.7155 0.6784 0.1134
57 Hg 0.7845 0.3866 0.8216
58 Hg 0.7845 0.8979 0.9629
59 Hg 0.8216 0.5371 0.4350
60 Hg 0.8216 0.7845 0.3866
61 Hg 0.8866 0.1021 0.5650
62 Hg 0.8866 0.2845 0.3216
63 Hg 0.8979 0.4350 0.1134
64 Hg 0.8979 0.9629 0.7845
65 Hg 0.9350 0.0371 0.3216
66 Hg 0.9350 0.3979 0.6134
67 Hg 0.9629 0.6784 0.0650
68 Hg 0.9629 0.7845 0.8979
69 Cl 0.1250 0.2500 0.3750
70 Cl 0.1250 0.3750 0.7500
71 Cl 0.2500 0.3750 0.1250
72 Cl 0.2500 0.8750 0.6250
73 Cl 0.3750 0.1250 0.2500
74 Cl 0.3750 0.7500 0.1250
75 Cl 0.6250 0.2500 0.8750
76 Cl 0.6250 0.8750 0.7500
77 Cl 0.7500 0.1250 0.3750
78 Cl 0.7500 0.6250 0.8750
79 Cl 0.8750 0.6250 0.2500
80 Cl 0.8750 0.7500 0.6250

Entry 2:
Ga3HgCl: relaxed, PBE.

Results
Polymorph energy (0 for the lowest one), eV per formula unit: 0.00

abc: 5.3228 5.3228 5.3228
angles: 90.00 90.00 90.00
Element x y z (fractional)
1 Ga 0.0000 0.0000 0.5000
2 Ga 0.0000 0.5000 0.0000
3 Ga 0.5000 0.0000 0.0000
4 Hg 0.0000 0.0000 0.0000
5 Cl 0.5000 0.5000 0.5000

Entry 3:
Ga2Hg3Cl8: relaxed, PBE.

Results
Raw total energy, eV for the cell shown: -133.3

abc: 7.3552 15.8476 14.8080
angles: 90.00 98.10 90.00
Element x y z (fractional)
1 Ga 0.0974 0.1833 0.0900
2 Ga 0.0974 0.3167 0.5900
3 Ga 0.3067 0.5980 0.7809
4 Ga 0.3067 0.9020 0.2809
5 Ga 0.6933 0.0980 0.7191
6 Ga 0.6933 0.4020 0.2191
7 Ga 0.9026 0.6833 0.4100
8 Ga 0.9026 0.8167 0.9100
9 Hg 0.1280 0.5304 0.1963
10 Hg 0.1280 0.9696 0.6963
11 Hg 0.3059 0.6412 0.1065
12 Hg 0.3059 0.8588 0.6065
13 Hg 0.4832 0.7392 0.5300
14 Hg 0.4832 0.7608 0.0300
15 Hg 0.5168 0.2392 0.9700
16 Hg 0.5168 0.2608 0.4700
17 Hg 0.6941 0.1412 0.3935
18 Hg 0.6941 0.3588 0.8935
19 Hg 0.8720 0.0304 0.3037
20 Hg 0.8720 0.4696 0.8037
21 Cl 0.0166 0.5816 0.7070
22 Cl 0.0166 0.9184 0.2070
23 Cl 0.0954 0.1862 0.5393
24 Cl 0.0954 0.3138 0.0393
25 Cl 0.1499 0.6121 0.4609
26 Cl 0.1499 0.8879 0.9609
27 Cl 0.1678 0.1725 0.2376
28 Cl 0.1678 0.3275 0.7376
29 Cl 0.3212 0.5197 0.9039
30 Cl 0.3212 0.9803 0.4039
31 Cl 0.3275 0.1189 0.0264
32 Cl 0.3275 0.3811 0.5264
33 Cl 0.3427 0.7326 0.8118
34 Cl 0.3427 0.7674 0.3118
35 Cl 0.4974 0.5586 0.6888
36 Cl 0.4974 0.9414 0.1888
37 Cl 0.5026 0.0586 0.8112
38 Cl 0.5026 0.4414 0.3112
39 Cl 0.6573 0.2326 0.6882
40 Cl 0.6573 0.2674 0.1882
41 Cl 0.6725 0.6189 0.4736
42 Cl 0.6725 0.8811 0.9736
43 Cl 0.6788 0.0197 0.5961
44 Cl 0.6788 0.4803 0.0961
45 Cl 0.8322 0.6725 0.2624
46 Cl 0.8322 0.8275 0.7624
47 Cl 0.8501 0.1121 0.0391
48 Cl 0.8501 0.3879 0.5391
49 Cl 0.9046 0.6862 0.9607
50 Cl 0.9046 0.8138 0.4607
51 Cl 0.9834 0.0816 0.7930
52 Cl 0.9834 0.4184 0.2930

Entry 4:
GaHgCl: relaxed, PBE.

Results
Polymorph energy (0 for the lowest one), eV per formula unit: 0.02

abc: 7.1287 7.1287 6.4307
angles: 90.00 90.00 147.97
Element x y z (fractional)
1 Ga 0.1542 0.8458 0.5000
2 Ga 0.8458 0.1542 0.0000
3 Hg 0.4874 0.5126 0.2996
4 Hg 0.5126 0.4874 0.7996
5 Cl 0.2177 0.7823 0.0848
6 Cl 0.7823 0.2177 0.5848

Entry 5:
GaHgCl: relaxed, PBE.

Results
Polymorph energy (0 for the lowest one), eV per formula unit: 0.06

abc: 3.9794 6.6344 7.2646
angles: 92.22 105.87 90.54
Element x y z (fractional)
1 Ga 0.0000 0.0000 0.0000
2 Ga 0.2593 0.7314 0.5310
3 Hg 0.1373 0.3580 0.2817
4 Hg 0.3501 0.1502 0.6966
5 Cl 0.6036 0.8663 0.2147
6 Cl 0.8861 0.6504 0.7872

Entry 6:
Ga2HgCl6: relaxed, PBE.

Results
Raw total energy, eV for the cell shown: -52.2

abc: 9.7262 9.7262 7.9537
angles: 100.26 100.26 83.25
Element x y z (fractional)
1 Ga 0.0187 0.3662 0.3449
2 Ga 0.3662 0.0187 0.8449
3 Ga 0.6338 0.9813 0.1551
4 Ga 0.9813 0.6338 0.6551
5 Hg 0.4819 0.5181 0.2500
6 Hg 0.5181 0.4819 0.7500
7 Cl 0.1019 0.5883 0.4187
8 Cl 0.1281 0.6418 0.8893
9 Cl 0.1861 0.2081 0.3838
10 Cl 0.2081 0.1861 0.8838
11 Cl 0.3582 0.8718 0.6107
12 Cl 0.4117 0.8981 0.0813
13 Cl 0.5883 0.1019 0.9187
14 Cl 0.6418 0.1281 0.3893
15 Cl 0.7919 0.8139 0.1162
16 Cl 0.8139 0.7919 0.6162
17 Cl 0.8718 0.3582 0.1107
18 Cl 0.8981 0.4117 0.5813

Entry 7:
GaHgCl: relaxed, PBE.

Results
Polymorph energy (0 for the lowest one), eV per formula unit: 0.09

abc: 4.1519 4.1519 13.0310
angles: 100.13 100.13 56.10
Element x y z (fractional)
1 Ga 0.2458 0.2458 0.2634
2 Ga 0.7542 0.7542 0.7366
3 Hg 0.1253 0.1253 0.9061
4 Hg 0.8747 0.8747 0.0939
5 Cl 0.3865 0.3865 0.6345
6 Cl 0.6135 0.6135 0.3655

Entry 8:
GaHgCl: relaxed, PBE.

Results
Polymorph energy (0 for the lowest one), eV per formula unit: 0.23

abc: 5.0119 5.0119 5.0119
angles: 60.00 60.00 60.00
Element x y z (fractional)
1 Ga 0.0000 0.0000 0.0000
2 Hg 0.7500 0.7500 0.7500
3 Cl 0.2500 0.2500 0.2500